The following is a PBE calculation of crystalline Ba2YRu4 at its relaxed geometry, from Alexandria.

Its density of states at the Fermi level is 27.53 states/eV/cell. The magnetization is 10.05 μB/cell. The calculation puts the total energy at -5.42 eV/atom. The calculation puts the formation energy from the elements at 1.3554 eV/atom. The symmetry is I4/mmm, No. 139.

Cell lengths 5.064, 5.064, 15.758 Å; angles 90.00, 90.00, 90.00 degrees
Fractional positions:
Ba  0.000  0.000  0.144
Ba  0.000  0.000  0.856
Ba  0.500  0.500  0.356
Ba  0.500  0.500  0.644
Y  0.000  0.000  0.500
Y  0.500  0.500  0.000
Ru  0.000  0.000  0.339
Ru  0.000  0.000  0.661
Ru  0.000  0.500  0.000
Ru  0.000  0.500  0.500
Ru  0.500  0.000  0.000
Ru  0.500  0.000  0.500
Ru  0.500  0.500  0.161
Ru  0.500  0.500  0.839

The following is a PBE calculation of crystalline BaY4Ru at its relaxed geometry, from Alexandria.

Its density of states at the Fermi level is 10.76 states/eV/cell. The magnetization is 1.59 μB/cell. The calculation puts the total energy at -5.37 eV/atom. The calculation puts the formation energy from the elements at 0.8044 eV/atom. The symmetry is F-43m, No. 216.

Cell lengths 6.442, 6.442, 6.442 Å; angles 60.00, 60.00, 60.00 degrees
Fractional positions:
Ba  0.000  0.000  0.000
Y  0.377  0.377  0.377
Y  0.377  0.377  0.869
Y  0.377  0.869  0.377
Y  0.869  0.377  0.377
Ru  0.750  0.750  0.750

- Number 1 is which compound?
  Ba2YRu4